<A>
Entry from Alexandria via LeMat-Bulk: a relaxed Mn3ZnC crystal (PBE).

Properties
SG	Pm-3m (221)
DOS at the Fermi energy	0.6	states/eV/f.u.
crystal system	cubic

Structure (POSCAR):
```
Mn3ZnC
1.0
3.876 0.000 0.000
0.000 3.876 0.000
0.000 0.000 3.876
Mn Zn C
3 1 1
Cartesian
0.000 0.000 1.938
0.000 1.938 0.000
1.938 0.000 0.000
1.938 1.938 1.938
0.000 0.000 0.000
```

<B>
Entry from Alexandria via LeMat-Bulk: a relaxed Mn3ZnC crystal (PBE).

Properties
SG	Cmmm (65)
DOS at the Fermi energy	4.0	states/eV/f.u.
crystal system	orthorhombic

Structure (POSCAR):
```
Mn3ZnC
1.0
2.703 -5.590 0.000
2.703 5.590 0.000
0.000 0.000 3.908
Mn Zn C
6 2 2
Cartesian
1.351 2.795 1.954
2.703 4.082 0.000
1.333 0.000 1.954
1.351 -2.795 1.954
4.073 0.000 1.954
2.703 -4.082 0.000
2.703 1.370 0.000
2.703 -1.370 0.000
2.703 4.193 1.954
2.703 -4.193 1.954
```

Energies relative to the most stable structure are <A> 0; <B> 47, reported in meV per atom.

<A>
Entry from Alexandria via LeMat-Bulk: a relaxed MnZnC3 crystal (PBE).

Properties
SG	Pm-3m (221)
DOS at the Fermi energy	3.3	states/eV/f.u.
crystal system	cubic

Structure (POSCAR):
```
MnZnC3
1.0
3.787 0.000 0.000
0.000 3.787 0.000
0.000 0.000 3.787
Mn Zn C
1 1 3
Cartesian
0.000 0.000 0.000
1.894 1.894 1.894
0.000 0.000 1.894
0.000 1.894 0.000
1.894 0.000 0.000
```

<B>
Entry from Alexandria via LeMat-Bulk: a relaxed MnZnC3 crystal (PBE).

Properties
SG	Pm-3m (221)
DOS at the Fermi energy	5.0	states/eV/f.u.
crystal system	cubic

Structure (POSCAR):
```
MnZnC3
1.0
3.839 0.000 0.000
0.000 3.839 0.000
0.000 0.000 3.839
Mn Zn C
1 1 3
Cartesian
0.000 0.000 0.000
1.920 1.920 1.920
0.000 1.920 1.920
1.920 0.000 1.920
1.920 1.920 0.000
```

Energies relative to the most stable structure are <A> 0; <B> 1326, reported in meV per atom.

<A>
Entry from Alexandria via LeMat-Bulk: a relaxed MnZn3C crystal (PBE).

Properties
SG	Pm-3m (221)
DOS at the Fermi energy	1.8	states/eV/f.u.
crystal system	cubic

Structure (POSCAR):
```
MnZn3C
1.0
4.138 0.000 0.000
0.000 4.138 0.000
0.000 0.000 4.138
Mn Zn C
1 3 1
Cartesian
0.000 0.000 0.000
0.000 2.069 2.069
2.069 0.000 2.069
2.069 2.069 0.000
2.069 2.069 2.069
```

<B>
Entry from Alexandria via LeMat-Bulk: a relaxed MnZn3C crystal (PBE).

Properties
SG	Pm-3m (221)
DOS at the Fermi energy	6.3	states/eV/f.u.
crystal system	cubic

Structure (POSCAR):
```
MnZn3C
1.0
4.582 0.000 0.000
0.000 4.582 0.000
0.000 0.000 4.582
Mn Zn C
1 3 1
Cartesian
0.000 0.000 0.000
0.000 0.000 2.291
0.000 2.291 0.000
2.291 0.000 0.000
2.291 2.291 2.291
```

Energies relative to the most stable structure are <A> 0; <B> 1299, reported in meV per atom.

<A>
Entry from Alexandria via LeMat-Bulk: a relaxed Zr2Mn2C crystal (PBE).

Properties
SG	P4/mbm (127)
DOS at the Fermi energy	4.7	states/eV/f.u.
crystal system	tetragonal

Structure (POSCAR):
```
Zr2Mn2C
1.0
5.486 0.000 0.000
0.000 5.486 0.000
0.000 0.000 4.793
Zr Mn C
4 4 2
Cartesian
0.963 1.780 0.000
1.780 4.523 0.000
3.706 0.963 0.000
4.523 3.706 0.000
0.904 3.647 2.397
1.839 0.904 2.397
3.647 4.582 2.397
4.582 1.839 2.397
0.000 0.000 2.397
2.743 2.743 2.397
```

<B>
Entry from Alexandria via LeMat-Bulk: a relaxed Zr2Mn2C crystal (PBE).

Properties
SG	I4/mmm (139)
DOS at the Fermi energy	4.4	states/eV/f.u.
crystal system	tetragonal

Structure (POSCAR):
```
Zr2Mn2C
1.0
-2.547 2.547 3.072
2.547 -2.547 3.072
2.547 2.547 -3.072
Zr Mn C
2 2 1
Cartesian
2.547 0.000 1.536
0.000 2.547 1.536
0.000 0.000 1.241
0.000 0.000 4.903
0.000 0.000 3.072
```

Energies relative to the most stable structure are <A> 0; <B> 331, reported in meV per atom.

<A>
Entry from Alexandria via LeMat-Bulk: a relaxed ZrMnC3 crystal (PBE).

Properties
SG	Pm-3m (221)
DOS at the Fermi energy	4.1	states/eV/f.u.
crystal system	cubic

Structure (POSCAR):
```
ZrMnC3
1.0
3.749 0.000 0.000
0.000 3.749 0.000
0.000 0.000 3.749
Zr Mn C
1 1 3
Cartesian
0.000 0.000 0.000
1.874 1.874 1.874
0.000 1.874 1.874
1.874 0.000 1.874
1.874 1.874 0.000
```

<B>
Entry from Alexandria via LeMat-Bulk: a relaxed ZrMnC3 crystal (PBE).

Properties
SG	Pm-3m (221)
DOS at the Fermi energy	8.6	states/eV/f.u.
crystal system	cubic

Structure (POSCAR):
```
ZrMnC3
1.0
4.242 0.000 0.000
0.000 4.242 0.000
0.000 0.000 4.242
Zr Mn C
1 1 3
Cartesian
0.000 0.000 0.000
2.121 2.121 2.121
0.000 0.000 2.121
0.000 2.121 0.000
2.121 0.000 0.000
```

Energies relative to the most stable structure are <A> 0; <B> 1650, reported in meV per atom.

<A>
Entry from Alexandria via LeMat-Bulk: a relaxed MoC3 crystal (PBE).

Properties
SG	P4/mmm (123)
DOS at the Fermi energy	1.6	states/eV/f.u.
crystal system	tetragonal

Structure (POSCAR):
```
MoC3
1.0
2.854 0.000 0.000
0.000 2.854 0.000
0.000 0.000 4.113
Mo C
1 3
Cartesian
0.000 0.000 0.000
0.000 0.000 2.057
1.427 1.427 1.300
1.427 1.427 2.813
```

<B>
Entry from Alexandria via LeMat-Bulk: a relaxed MoC3 crystal (PBE).

Properties
SG	I4/mmm (139)
DOS at the Fermi energy	1.5	states/eV/f.u.
crystal system	tetragonal

Structure (POSCAR):
```
MoC3
1.0
-1.512 1.512 3.802
1.512 -1.512 3.802
1.512 1.512 -3.802
Mo C
1 3
Cartesian
0.000 0.000 0.000
1.512 0.000 1.901
0.000 0.000 3.802
0.000 1.512 1.901
```

<C>
Entry from Alexandria via LeMat-Bulk: a relaxed MoC3 crystal (PBE).

Properties
SG	Cmcm (63)
DOS at the Fermi energy	2.0	states/eV/f.u.
crystal system	orthorhombic

Structure (POSCAR):
```
MoC3
1.0
1.769 -5.129 0.000
1.769 5.129 0.000
0.000 0.000 4.084
Mo C
2 6
Cartesian
1.769 4.201 3.063
1.769 -4.201 1.021
1.769 3.124 1.021
1.067 0.976 3.063
1.067 -0.976 1.021
2.471 0.976 3.063
2.471 -0.976 1.021
1.769 -3.124 3.063
```

Energies relative to the most stable structure are <A> 773; <B> 1256; <C> 0, reported in meV per atom.

<A>
Entry from Alexandria via LeMat-Bulk: a relaxed MoC3 crystal (PBE).

Properties
SG	Pm-3n (223)
DOS at the Fermi energy	2.8	states/eV/f.u.
crystal system	cubic

Structure (POSCAR):
```
MoC3
1.0
4.073 0.000 0.000
0.000 4.073 0.000
0.000 0.000 4.073
Mo C
2 6
Cartesian
0.000 0.000 0.000
2.036 2.036 2.036
0.000 1.018 2.036
0.000 3.055 2.036
1.018 2.036 0.000
2.036 0.000 1.018
2.036 0.000 3.055
3.055 2.036 0.000
```

<B>
Entry from Alexandria via LeMat-Bulk: a relaxed MoC3 crystal (PBE).

Properties
SG	P2/m (10)
DOS at the Fermi energy	1.3	states/eV/f.u.
crystal system	monoclinic

Structure (POSCAR):
```
MoC3
1.0
2.858 0.000 0.000
0.000 2.826 0.000
-0.452 0.000 4.100
Mo C
1 3
Cartesian
0.000 0.000 0.000
-0.226 0.000 2.050
0.994 1.413 2.780
1.412 1.413 1.320
```

Energies relative to the most stable structure are <A> 394; <B> 0, reported in meV per atom.

<A>
Entry from Alexandria via LeMat-Bulk: a relaxed MoC3 crystal (PBE).

Properties
SG	Cmmm (65)
DOS at the Fermi energy	1.5	states/eV/f.u.
crystal system	orthorhombic

Structure (POSCAR):
```
MoC3
1.0
1.201 -2.970 0.000
1.201 2.970 0.000
0.000 0.000 5.771
Mo C
1 3
Cartesian
0.000 0.000 0.000
0.000 0.000 2.885
1.201 0.000 1.882
1.201 0.000 3.889
```

<B>
Entry from Alexandria via LeMat-Bulk: a relaxed MoC3 crystal (PBE).

Properties
SG	Imm2 (44)
DOS at the Fermi energy	0.4	states/eV/f.u.
crystal system	orthorhombic

Structure (POSCAR):
```
MoC3
1.0
-1.473 3.291 1.871
1.473 -3.291 1.871
1.473 3.291 -1.871
Mo C
1 3
Cartesian
0.000 0.000 0.000
1.473 -1.192 1.123
1.473 1.192 1.123
0.000 3.291 0.026
```

<C>
Entry from Alexandria via LeMat-Bulk: a relaxed MoC3 crystal (PBE).

Properties
SG	Pnma (62)
DOS at the Fermi energy	1.7	states/eV/f.u.
crystal system	orthorhombic

Structure (POSCAR):
```
MoC3
1.0
5.375 0.000 0.000
0.000 5.569 0.000
0.000 0.000 5.967
Mo C
4 12
Cartesian
0.529 1.392 0.762
2.159 4.177 3.745
3.216 1.392 2.222
4.846 4.177 5.205
0.912 1.392 4.667
0.949 0.058 4.690
0.949 2.727 4.690
1.739 2.842 1.706
1.739 5.511 1.706
1.776 4.177 1.684
3.599 1.392 4.283
3.636 0.058 4.260
3.636 2.727 4.260
4.426 2.842 1.277
4.426 5.511 1.277
4.463 4.177 1.299
```

<D>
Entry from Alexandria via LeMat-Bulk: a relaxed MoC3 crystal (PBE).

Properties
SG	Immm (71)
DOS at the Fermi energy	1.7	states/eV/f.u.
crystal system	orthorhombic

Structure (POSCAR):
```
MoC3
1.0
-1.274 2.050 3.098
1.274 -2.050 3.098
1.274 2.050 -3.098
Mo C
1 3
Cartesian
0.000 0.000 0.000
1.274 0.000 1.998
0.000 0.000 3.098
0.000 2.050 1.100
```

Energies relative to the most stable structure are <A> 1019; <B> 116; <C> 0; <D> 827, reported in meV per atom.

<A>
Entry from Alexandria via LeMat-Bulk: a relaxed MoC3 crystal (PBE).

Properties
SG	R-3m (166)
DOS at the Fermi energy	2.3	states/eV/f.u.
crystal system	trigonal

Structure (POSCAR):
```
MoC3
1.0
1.339 0.773 5.254
-1.339 0.773 5.254
0.000 -1.546 5.254
Mo C
1 3
Cartesian
0.000 0.000 0.000
0.000 0.000 3.628
0.000 0.000 7.881
0.000 0.000 12.134
```

<B>
Entry from Alexandria via LeMat-Bulk: a relaxed MoC3 crystal (PBE).

Properties
SG	Pmmn (59)
DOS at the Fermi energy	2.0	states/eV/f.u.
crystal system	orthorhombic

Structure (POSCAR):
```
MoC3
1.0
3.723 0.000 0.000
0.000 4.668 0.000
0.000 0.000 4.129
Mo C
2 6
Cartesian
0.931 1.167 0.763
2.792 3.501 3.366
0.931 2.808 2.066
0.931 3.501 0.623
0.931 4.194 2.066
2.792 0.474 2.063
2.792 1.167 3.506
2.792 1.860 2.063
```

Energies relative to the most stable structure are <A> 405; <B> 0, reported in meV per atom.

<A>
Entry from Alexandria via LeMat-Bulk: a relaxed MoC3 crystal (PBE).

Properties
SG	P-6m2 (187)
DOS at the Fermi energy	1.4	states/eV/f.u.
crystal system	hexagonal

Structure (POSCAR):
```
MoC3
1.0
3.200 0.000 0.000
-1.600 2.771 0.000
0.000 0.000 4.162
Mo C
1 3
Cartesian
0.000 0.000 0.000
0.000 0.000 2.081
0.000 1.848 1.335
0.000 1.848 2.828
```

<B>
Entry from Alexandria via LeMat-Bulk: a relaxed MoC3 crystal (PBE).

Properties
SG	Pm-3m (221)
DOS at the Fermi energy	3.3	states/eV/f.u.
crystal system	cubic

Structure (POSCAR):
```
MoC3
1.0
3.251 0.000 0.000
0.000 3.251 0.000
0.000 0.000 3.251
Mo C
1 3
Cartesian
0.000 0.000 0.000
0.000 1.625 1.625
1.625 0.000 1.625
1.625 1.625 0.000
```

<C>
Entry from Alexandria via LeMat-Bulk: a relaxed MoC3 crystal (PBE).

Properties
SG	Cmcm (63)
DOS at the Fermi energy	1.3	states/eV/f.u.
crystal system	orthorhombic

Structure (POSCAR):
```
MoC3
1.0
2.098 -7.408 0.000
2.098 7.408 0.000
0.000 0.000 2.514
Mo C
2 6
Cartesian
2.098 6.072 1.885
2.098 -6.072 0.628
1.392 3.829 1.885
2.805 3.829 1.885
2.098 0.363 0.628
2.098 -0.363 1.885
1.392 -3.829 0.628
2.805 -3.829 0.628
```

Energies relative to the most stable structure are <A> 915; <B> 1783; <C> 0, reported in meV per atom.

<A>
Entry from Alexandria via LeMat-Bulk: a relaxed MoC3 crystal (PBE).

Properties
SG	Cmmm (65)
DOS at the Fermi energy	2.0	states/eV/f.u.
crystal system	orthorhombic

Structure (POSCAR):
```
MoC3
1.0
2.126 -2.928 0.000
2.126 2.928 0.000
0.000 0.000 2.805
Mo C
1 3
Cartesian
0.000 0.000 0.000
1.063 1.464 1.402
1.063 -1.464 1.402
2.126 0.000 0.000
```

<B>
Entry from Alexandria via LeMat-Bulk: a relaxed MoC3 crystal (PBE).

Properties
SG	P6_3/mmc (194)
DOS at the Fermi energy	2.4	states/eV/f.u.
crystal system	hexagonal

Structure (POSCAR):
```
MoC3
1.0
4.215 0.000 0.000
-2.108 3.650 0.000
0.000 0.000 10.531
Mo C
4 12
Cartesian
0.000 0.000 0.000
0.000 0.000 5.265
0.000 2.434 2.633
2.108 1.217 7.898
-1.054 1.825 0.000
-1.054 1.825 5.265
0.000 1.603 7.898
-0.720 2.849 7.898
1.388 0.801 2.633
2.108 0.000 0.000
2.108 0.000 5.265
1.054 1.825 0.000
1.054 1.825 5.265
0.720 2.849 7.898
2.827 0.801 2.633
2.108 2.048 2.633
```

Energies relative to the most stable structure are <A> 269; <B> 0, reported in meV per atom.